Here is LaSm2O after structural relaxation from Alexandria. Energies are from PBE-GGA.

Computed properties:
Its formation energy from raw total energies is -0.797 eV per atom. The value obtained for the volume is 24.177 A^3/atom. The calculation puts the uncorrected energy at -5.63 eV/atom. As for the polymorph energy (0 for the lowest one): 392 meV per atom.

Cell lengths 3.232, 3.232, 9.260 Å; angles 90.00, 90.00, 90.00 degrees
Fractional coordinates of all 4 atoms:
La1 0.000 0.000 0.000
Sm1 0.500 0.500 0.333
Sm2 0.500 0.500 0.667
O1 0.000 0.000 0.500